Entry 1:
A plane-wave DFT calculation with SCAN was carried out for a PBEsol-optimized structure of Cr2CoB2.

Computed properties:
* calculated volume: 42 Å³/f.u.
* DFT formation energy: -380.1 meV per atom
* space group: P4/mbm, No. 127
* calculated total energy: -14.17 eV per atom

Unit cell a=2.966 b=5.333 c=5.333 alpha=90.00 beta=90.00 gamma=90.00
Each line ends with the local moment (μB).
Element x y z (fractional)
Co: 0.000 0.500 0.500  1.50
Co: 0.000 0.000 0.000  1.50
Cr: 0.500 0.674 0.826  1.47
Cr: 0.500 0.826 0.326  1.47
Cr: 0.500 0.174 0.674  1.47
Cr: 0.500 0.326 0.174  1.47
B: 0.000 0.382 0.882  -0.18
B: 0.000 0.118 0.382  -0.18
B: 0.000 0.618 0.118  -0.18
B: 0.000 0.882 0.618  -0.18



Entry 2:
A plane-wave DFT calculation with SCAN was carried out for a PBEsol-optimized structure of CrCoB.

Computed properties:
* calculated volume: 26 Å³/f.u.
* DFT formation energy: -227.9 meV per atom
* space group: Fmmm, No. 69
* calculated total energy: -14.60 eV per atom

Unit cell a=4.030 b=4.030 c=4.198 alpha=104.46 beta=104.46 gamma=118.68
Each line ends with the local moment (μB).
Element x y z (fractional)
B: 0.250 0.750 0.500  -0.04
B: 0.750 0.250 0.500  -0.04
Cr: 0.338 0.662 0.000  0.23
Cr: 0.662 0.338 0.000  0.23
Co: 0.166 0.166 0.332  1.18
Co: 0.834 0.834 0.668  1.18



Entry 3:
A plane-wave DFT calculation with SCAN was carried out for a PBEsol-optimized structure of CrCo2SnB.

Computed properties:
* calculated volume: 64 Å³/f.u.
* DFT formation energy: 504.6 meV per atom
* space group: P4/mmm, No. 123
* calculated total energy: -18.76 eV per atom

Unit cell a=3.792 b=3.792 c=4.427 alpha=90.00 beta=90.00 gamma=90.00
Each line ends with the local moment (μB).
Element x y z (fractional)
Co: 0.000 0.500 0.000  -0.43
Co: 0.500 0.000 0.000  -0.43
Sn: 0.000 0.000 0.500  -0.11
B: 0.000 0.000 0.000  0.05
Cr: 0.500 0.500 0.500  3.47



Entry 4:
A plane-wave DFT calculation with SCAN was carried out for a PBEsol-optimized structure of CsCoB3.

Computed properties:
* calculated volume: 92 Å³/f.u.
* DFT formation energy: 3857.1 meV per atom
* space group: Pm-3m, No. 221
* calculated total energy: -11.62 eV per atom

Unit cell a=4.520 b=4.520 c=4.520 alpha=90.00 beta=90.00 gamma=90.00
Each line ends with the local moment (μB).
Element x y z (fractional)
B: 0.500 0.000 0.000  -0.01
B: 0.000 0.500 0.000  -0.01
B: 0.000 0.000 0.500  -0.01
Co: 0.500 0.500 0.500  2.16
Cs: 0.000 0.000 0.000  -0.01



Entry 5:
A plane-wave DFT calculation with SCAN was carried out for a PBEsol-optimized structure of Cs2CoB.

Computed properties:
* calculated volume: 132 Å³/f.u.
* DFT formation energy: 1534.6 meV per atom
* space group: Fm-3m, No. 225
* calculated total energy: -23.55 eV per atom

Unit cell a=5.714 b=5.714 c=5.714 alpha=60.00 beta=60.00 gamma=60.00
Each line ends with the local moment (μB).
Element x y z (fractional)
Co: 0.500 0.500 0.500  1.97
Cs: 0.250 0.250 0.250  -0.06
Cs: 0.750 0.750 0.750  -0.06
B: 0.000 0.000 0.000  -0.64



Entry 6:
A plane-wave DFT calculation with SCAN was carried out for a PBEsol-optimized structure of CoCuB3.

Computed properties:
* calculated volume: 50 Å³/f.u.
* DFT formation energy: 1686.5 meV per atom
* space group: Pm-3m, No. 221
* calculated total energy: -9.27 eV per atom

Unit cell a=3.691 b=3.691 c=3.691 alpha=90.00 beta=90.00 gamma=90.00
Each line ends with the local moment (μB).
Element x y z (fractional)
Cu: 0.000 0.000 0.000  -0.04
B: 0.000 0.000 0.500  -0.03
B: 0.500 0.000 0.000  -0.03
B: 0.000 0.500 0.000  -0.03
Co: 0.500 0.500 0.500  1.73



Entry 7:
A plane-wave DFT calculation with SCAN was carried out for a PBEsol-optimized structure of CoCu3B.

Computed properties:
* calculated volume: 56 Å³/f.u.
* DFT formation energy: 373.0 meV per atom
* space group: Pm-3m, No. 221
* calculated total energy: -13.69 eV per atom

Unit cell a=3.826 b=3.826 c=3.826 alpha=90.00 beta=90.00 gamma=90.00
Each line ends with the local moment (μB).
Element x y z (fractional)
Cu: 0.000 0.000 0.500  0.00
Cu: 0.000 0.500 0.000  0.00
Cu: 0.500 0.000 0.000  0.00
B: 0.000 0.000 0.000  0.02
Co: 0.500 0.500 0.500  1.92



Entry 8:
A plane-wave DFT calculation with SCAN was carried out for a PBEsol-optimized structure of CoCuBTe2.

Computed properties:
* calculated volume: 109 Å³/f.u.
* ΔE_f (raw): 1479.7 meV per atom
* space group: P4/mmm, No. 123
* calculated total energy: -21.41 eV per atom

Unit cell a=4.388 b=4.979 c=4.979 alpha=90.00 beta=90.00 gamma=90.00
Each line ends with the local moment (μB).
Element x y z (fractional)
B: 0.500 0.500 0.500  -0.01
Te: 0.000 0.000 0.500  0.03
Te: 0.000 0.500 0.000  0.03
Co: 0.500 0.000 0.000  2.18
Cu: 0.000 0.000 0.000  0.03



Entry 9:
A plane-wave DFT calculation with SCAN was carried out for a PBEsol-optimized structure of DyCoB4.

Computed properties:
* calculated volume: 55 Å³/f.u.
* DFT formation energy: -619.4 meV per atom
* space group: Pbam, No. 55
* calculated total energy: -16.42 eV per atom

Unit cell a=3.328 b=5.858 c=11.348 alpha=90.00 beta=90.00 gamma=90.00
Each line ends with the local moment (μB).
Element x y z (fractional)
Dy: 0.500 0.128 0.650  0.01
Dy: 0.500 0.372 0.150  0.01
Dy: 0.500 0.872 0.350  0.01
Dy: 0.500 0.628 0.850  0.01
B: 0.000 0.523 0.309  0.00
B: 0.000 0.111 0.046  -0.01
B: 0.000 0.282 0.815  0.01
B: 0.000 0.611 0.454  -0.01
B: 0.000 0.977 0.809  0.00
B: 0.000 0.718 0.185  0.01
B: 0.000 0.639 0.033  0.00
B: 0.000 0.782 0.685  0.01
B: 0.000 0.389 0.546  -0.01
B: 0.000 0.023 0.191  0.00
B: 0.000 0.139 0.467  0.00
B: 0.000 0.889 0.954  -0.01
B: 0.000 0.218 0.315  0.01
B: 0.000 0.477 0.691  0.00
B: 0.000 0.361 0.967  0.00
B: 0.000 0.861 0.533  0.00
Co: 0.500 0.866 0.089  0.39
Co: 0.500 0.134 0.911  0.39
Co: 0.500 0.634 0.589  0.39
Co: 0.500 0.366 0.411  0.39



Entry 10:
A plane-wave DFT calculation with SCAN was carried out for a PBEsol-optimized structure of DyCo3B2.

Computed properties:
* calculated volume: 63 Å³/f.u.
* DFT formation energy: -445.2 meV per atom
* space group: P6/mmm, No. 191
* calculated total energy: -19.54 eV per atom

Unit cell a=2.980 b=4.934 c=4.934 alpha=120.00 beta=90.00 gamma=90.00
Each line ends with the local moment (μB).
Element x y z (fractional)
Co: 0.500 0.500 0.500  0.33
Co: 0.500 0.000 0.500  0.33
Co: 0.500 0.500 0.000  0.33
Dy: 0.000 0.000 0.000  -0.11
B: 0.000 0.667 0.333  -0.02
B: 0.000 0.333 0.667  -0.02



Entry 11:
A plane-wave DFT calculation with SCAN was carried out for a PBEsol-optimized structure of DyCo12B6.

Computed properties:
* calculated volume: 181 Å³/f.u.
* DFT formation energy: -263.3 meV per atom
* space group: R-3m, No. 166
* calculated total energy: -16.05 eV per atom

Unit cell a=5.876 b=5.876 c=5.876 alpha=104.04 beta=104.04 gamma=104.04
Each line ends with the local moment (μB).
Element x y z (fractional)
B: 0.233 0.679 0.233  -0.07
B: 0.233 0.233 0.679  -0.07
B: 0.767 0.767 0.321  -0.07
B: 0.767 0.321 0.767  -0.07
B: 0.679 0.233 0.233  -0.07
B: 0.321 0.767 0.767  -0.07
Co: 0.132 0.868 0.500  0.39
Co: 0.455 0.186 0.455  1.23
Co: 0.814 0.545 0.545  1.23
Co: 0.868 0.132 0.500  0.39
Co: 0.132 0.500 0.868  0.39
Co: 0.455 0.455 0.186  1.23
Co: 0.545 0.545 0.814  1.23
Co: 0.545 0.814 0.545  1.23
Co: 0.500 0.868 0.132  0.39
Co: 0.868 0.500 0.132  0.39
Co: 0.500 0.132 0.868  0.39
Co: 0.186 0.455 0.455  1.23
Dy: 0.000 0.000 0.000  -0.18



Question: Which value of calculated total energy does entry 7 give?
Answer: -13.69 eV per atom



What did the first record say?
A plane-wave DFT calculation with SCAN was carried out for a PBEsol-optimized structure of Cr2CoB2.

Computed properties:
* calculated volume: 42 Å³/f.u.
* DFT formation energy: -380.1 meV per atom
* space group: P4/mbm, No. 127
* calculated total energy: -14.17 eV per atom

Unit cell a=2.966 b=5.333 c=5.333 alpha=90.00 beta=90.00 gamma=90.00
Each line ends with the local moment (μB).
Element x y z (fractional)
Co: 0.000 0.500 0.500  1.50
Co: 0.000 0.000 0.000  1.50
Cr: 0.500 0.674 0.826  1.47
Cr: 0.500 0.826 0.326  1.47
Cr: 0.500 0.174 0.674  1.47
Cr: 0.500 0.326 0.174  1.47
B: 0.000 0.382 0.882  -0.18
B: 0.000 0.118 0.382  -0.18
B: 0.000 0.618 0.118  -0.18
B: 0.000 0.882 0.618  -0.18



Question: Which formula does entry 10 have?
Answer: DyCo3B2



Question: Look up the calculated volume of the eighth one.
Answer: 109 Å³/f.u.